## La2NdHoEr2 (PBE)

Data for a relaxed La2NdHoEr2 crystal.

Cell and atoms, written as POSCAR:
```
La2NdHoEr2
1.0
5.655 0.000 0.000
0.000 10.358 0.000
0.000 0.000 6.907
La Nd Ho Er
4 2 2 4
direct
0.000 0.026 0.000 La
0.000 0.974 0.500 La
0.500 0.205 0.265 La
0.500 0.795 0.765 La
0.000 0.307 0.639 Nd
0.000 0.693 0.139 Nd
0.500 0.471 0.894 Ho
0.500 0.529 0.394 Ho
0.000 0.378 0.146 Er
0.000 0.622 0.646 Er
0.500 0.130 0.756 Er
0.500 0.870 0.256 Er
```

Output
- E_form: 0.071 eV per atom
- ρ: 7.56 g/cm3